A relaxed structure of La2Ni3. Source: the Alexandria database, functional GGA-PBE.

Magnetic moment in μB/cell: 0.000
Formation energy in eV per formula unit: -1.223
Fermi-level density of states in states/eV/atom: 1.317
Space group: No. 164

Structure (CIF):
```
data_La2Ni3
_space_group_name_H-M_alt 'P 1'
_space_group_IT_number 1
_space_group_name_Hall 'P 1'
_cell_length_a 4.122
_cell_length_b 4.122
_cell_length_c 7.846
_cell_angle_alpha 90.00
_cell_angle_beta 90.00
_cell_angle_gamma 120.00
loop_
_atom_site_label
_atom_site_type_symbol
_atom_site_fract_x
_atom_site_fract_y
_atom_site_fract_z
_atom_site_occupancy
La1 La 0.667 0.333 0.281 1
La2 La 0.333 0.667 0.719 1
Ni1 Ni 0.000 0.000 0.000 1
Ni2 Ni 0.667 0.333 0.939 1
Ni3 Ni 0.333 0.667 0.061 1
```

---

A relaxed structure of La3Ni. Source: the Alexandria database, functional GGA-PBE.

Magnetic moment in μB/cell: 0.001
Formation energy in eV per formula unit: 0.801
Fermi-level density of states in states/eV/atom: 1.074
Space group: No. 166

Structure (CIF):
```
data_La3Ni
_space_group_name_H-M_alt 'P 1'
_space_group_IT_number 1
_space_group_name_Hall 'P 1'
_cell_length_a 3.729
_cell_length_b 6.010
_cell_length_c 6.384
_cell_angle_alpha 122.08
_cell_angle_beta 112.92
_cell_angle_gamma 78.06
loop_
_atom_site_label
_atom_site_type_symbol
_atom_site_fract_x
_atom_site_fract_y
_atom_site_fract_z
_atom_site_occupancy
La1 La 0.000 0.000 0.000 1
La2 La 0.500 0.500 0.500 1
La3 La 0.000 0.000 0.500 1
Ni1 Ni 0.500 0.500 0.000 1
```

---

A relaxed structure of La4Ni. Source: the Alexandria database, functional GGA-PBE.

Magnetic moment in μB/cell: 0.000
Formation energy in eV per formula unit: -0.431
Relative energy among the computed polymorphs in kcal/mol of atoms: 0.00
Fermi-level density of states in states/eV/atom: 1.507
Space group: No. 87

Structure (CIF):
```
data_La4Ni
_space_group_name_H-M_alt 'P 1'
_space_group_IT_number 1
_space_group_name_Hall 'P 1'
_cell_length_a 3.672
_cell_length_b 6.799
_cell_length_c 6.799
_cell_angle_alpha 94.18
_cell_angle_beta 105.67
_cell_angle_gamma 74.33
loop_
_atom_site_label
_atom_site_type_symbol
_atom_site_fract_x
_atom_site_fract_y
_atom_site_fract_z
_atom_site_occupancy
La1 La 0.247 0.184 0.677 1
La2 La 0.570 0.677 0.816 1
La3 La 0.753 0.816 0.323 1
La4 La 0.430 0.323 0.184 1
Ni1 Ni 0.000 0.000 0.000 1
```

---

A relaxed structure of La3Ni5. Source: the Alexandria database, functional GGA-PBE.

Magnetic moment in μB/cell: 0.000
Formation energy in eV per formula unit: -0.993
Relative energy among the computed polymorphs in kcal/mol of atoms: 1.78
Fermi-level density of states in states/eV/atom: 0.596
Space group: No. 65

Structure (CIF):
```
data_La3Ni5
_space_group_name_H-M_alt 'P 1'
_space_group_IT_number 1
_space_group_name_Hall 'P 1'
_cell_length_a 5.662
_cell_length_b 5.662
_cell_length_c 5.021
_cell_angle_alpha 90.00
_cell_angle_beta 90.00
_cell_angle_gamma 106.43
loop_
_atom_site_label
_atom_site_type_symbol
_atom_site_fract_x
_atom_site_fract_y
_atom_site_fract_z
_atom_site_occupancy
La1 La 0.500 0.500 0.000 1
La2 La 0.802 0.198 0.500 1
La3 La 0.198 0.802 0.500 1
Ni1 Ni 0.000 0.000 0.000 1
Ni2 Ni 0.500 0.000 0.000 1
Ni3 Ni 0.000 0.500 0.000 1
Ni4 Ni 0.689 0.689 0.500 1
Ni5 Ni 0.311 0.311 0.500 1
```

---

A relaxed structure of La2Ni3. Source: the Alexandria database, functional GGA-PBE.

Magnetic moment in μB/cell: 0.000
Formation energy in eV per formula unit: -1.632
Fermi-level density of states in states/eV/atom: 1.029
Space group: No. 63

Structure (CIF):
```
data_La2Ni3
_space_group_name_H-M_alt 'P 1'
_space_group_IT_number 1
_space_group_name_Hall 'P 1'
_cell_length_a 3.988
_cell_length_b 4.119
_cell_length_c 12.827
_cell_angle_alpha 90.00
_cell_angle_beta 98.94
_cell_angle_gamma 90.00
loop_
_atom_site_label
_atom_site_type_symbol
_atom_site_fract_x
_atom_site_fract_y
_atom_site_fract_z
_atom_site_occupancy
La1 La 0.301 0.750 0.601 1
La2 La 0.699 0.250 0.399 1
La3 La 0.569 0.750 0.138 1
La4 La 0.431 0.250 0.862 1
Ni1 Ni 0.171 0.750 0.343 1
Ni2 Ni 0.829 0.250 0.657 1
Ni3 Ni 0.883 0.750 0.765 1
Ni4 Ni 0.117 0.250 0.235 1
Ni5 Ni 0.024 0.250 0.047 1
Ni6 Ni 0.976 0.750 0.953 1
```

---

A relaxed structure of La5Ni. Source: the Alexandria database, functional GGA-PBE.

Magnetic moment in μB/cell: 0.773
Formation energy in eV per formula unit: 4.382
Relative energy among the computed polymorphs in kcal/mol of atoms: 18.36
Fermi-level density of states in states/eV/atom: 2.142
Space group: No. 191

Structure (CIF):
```
data_La5Ni
_space_group_name_H-M_alt 'P 1'
_space_group_IT_number 1
_space_group_name_Hall 'P 1'
_cell_length_a 6.261
_cell_length_b 6.261
_cell_length_c 6.000
_cell_angle_alpha 90.00
_cell_angle_beta 90.00
_cell_angle_gamma 120.00
loop_
_atom_site_label
_atom_site_type_symbol
_atom_site_fract_x
_atom_site_fract_y
_atom_site_fract_z
_atom_site_occupancy
La1 La 0.000 0.500 0.500 1
La2 La 0.333 0.667 0.000 1
La3 La 0.500 0.000 0.500 1
La4 La 0.500 0.500 0.500 1
La5 La 0.667 0.333 0.000 1
Ni1 Ni 0.000 0.000 0.000 1
```

---

A relaxed structure of La3Ni. Source: the Alexandria database, functional GGA-PBE.

Magnetic moment in μB/cell: 0.002
Formation energy in eV per formula unit: 0.713
Fermi-level density of states in states/eV/atom: 1.349
Space group: No. 223

Structure (CIF):
```
data_La3Ni
_space_group_name_H-M_alt 'P 1'
_space_group_IT_number 1
_space_group_name_Hall 'P 1'
_cell_length_a 6.096
_cell_length_b 6.096
_cell_length_c 6.096
_cell_angle_alpha 90.00
_cell_angle_beta 90.00
_cell_angle_gamma 90.00
loop_
_atom_site_label
_atom_site_type_symbol
_atom_site_fract_x
_atom_site_fract_y
_atom_site_fract_z
_atom_site_occupancy
La1 La 0.000 0.250 0.500 1
La2 La 0.000 0.750 0.500 1
La3 La 0.250 0.500 0.000 1
La4 La 0.500 0.000 0.250 1
La5 La 0.500 0.000 0.750 1
La6 La 0.750 0.500 0.000 1
Ni1 Ni 0.000 0.000 0.000 1
Ni2 Ni 0.500 0.500 0.500 1
```

---

A relaxed structure of La4Ni. Source: the Alexandria database, functional GGA-PBE.

Magnetic moment in μB/cell: 0.000
Formation energy in eV per formula unit: 2.081
Relative energy among the computed polymorphs in kcal/mol of atoms: 11.58
Fermi-level density of states in states/eV/atom: 1.066
Space group: No. 139

Structure (CIF):
```
data_La4Ni
_space_group_name_H-M_alt 'P 1'
_space_group_IT_number 1
_space_group_name_Hall 'P 1'
_cell_length_a 10.414
_cell_length_b 10.414
_cell_length_c 10.414
_cell_angle_alpha 157.55
_cell_angle_beta 157.55
_cell_angle_gamma 31.97
loop_
_atom_site_label
_atom_site_type_symbol
_atom_site_fract_x
_atom_site_fract_y
_atom_site_fract_z
_atom_site_occupancy
La1 La 0.250 0.750 0.500 1
La2 La 0.750 0.250 0.500 1
La3 La 0.577 0.577 0.000 1
La4 La 0.423 0.423 0.000 1
Ni1 Ni 0.000 0.000 0.000 1
```

---

A relaxed structure of La3Ni2. Source: the Alexandria database, functional GGA-PBE.

Magnetic moment in μB/cell: 0.000
Formation energy in eV per formula unit: -0.922
Relative energy among the computed polymorphs in kcal/mol of atoms: 1.75
Fermi-level density of states in states/eV/atom: 0.950
Space group: No. 166

Structure (CIF):
```
data_La3Ni2
_space_group_name_H-M_alt 'P 1'
_space_group_IT_number 1
_space_group_name_Hall 'P 1'
_cell_length_a 10.181
_cell_length_b 4.088
_cell_length_c 4.088
_cell_angle_alpha 60.00
_cell_angle_beta 101.58
_cell_angle_gamma 101.58
loop_
_atom_site_label
_atom_site_type_symbol
_atom_site_fract_x
_atom_site_fract_y
_atom_site_fract_z
_atom_site_occupancy
La1 La 0.000 0.000 0.000 1
La2 La 0.670 0.223 0.223 1
La3 La 0.330 0.777 0.777 1
Ni1 Ni 0.176 0.392 0.392 1
Ni2 Ni 0.824 0.608 0.608 1
```

---

A relaxed structure of La5Ni2. Source: the Alexandria database, functional GGA-PBE.

Magnetic moment in μB/cell: 0.000
Formation energy in eV per formula unit: -1.498
Fermi-level density of states in states/eV/atom: 1.218
Space group: No. 15

Structure (CIF):
```
data_La5Ni2
_space_group_name_H-M_alt 'P 1'
_space_group_IT_number 1
_space_group_name_Hall 'P 1'
_cell_length_a 6.619
_cell_length_b 7.153
_cell_length_c 9.331
_cell_angle_alpha 96.28
_cell_angle_beta 110.77
_cell_angle_gamma 90.00
loop_
_atom_site_label
_atom_site_type_symbol
_atom_site_fract_x
_atom_site_fract_y
_atom_site_fract_z
_atom_site_occupancy
La1 La 0.197 0.423 0.190 1
La2 La 0.007 0.077 0.810 1
La3 La 0.216 0.678 0.574 1
La4 La 0.641 0.822 0.426 1
La5 La 0.784 0.322 0.426 1
La6 La 0.359 0.178 0.574 1
La7 La 0.993 0.923 0.190 1
La8 La 0.803 0.577 0.810 1
La9 La 0.570 0.250 0.000 1
La10 La 0.430 0.750 0.000 1
Ni1 Ni 0.200 0.421 0.784 1
Ni2 Ni 0.416 0.079 0.216 1
Ni3 Ni 0.800 0.579 0.216 1
Ni4 Ni 0.584 0.921 0.784 1
```

---

A relaxed structure of La2Ni3. Source: the Alexandria database, functional GGA-PBE.

Magnetic moment in μB/cell: 0.000
Formation energy in eV per formula unit: -1.654
Fermi-level density of states in states/eV/atom: 0.795
Space group: No. 64

Structure (CIF):
```
data_La2Ni3
_space_group_name_H-M_alt 'P 1'
_space_group_IT_number 1
_space_group_name_Hall 'P 1'
_cell_length_a 5.461
_cell_length_b 5.461
_cell_length_c 7.907
_cell_angle_alpha 90.00
_cell_angle_beta 90.00
_cell_angle_gamma 124.88
loop_
_atom_site_label
_atom_site_type_symbol
_atom_site_fract_x
_atom_site_fract_y
_atom_site_fract_z
_atom_site_occupancy
La1 La 0.654 0.346 0.905 1
La2 La 0.846 0.154 0.405 1
La3 La 0.154 0.846 0.595 1
La4 La 0.346 0.654 0.095 1
Ni1 Ni 0.658 0.842 0.750 1
Ni2 Ni 0.842 0.658 0.250 1
Ni3 Ni 0.342 0.158 0.250 1
Ni4 Ni 0.158 0.342 0.750 1
Ni5 Ni 0.000 0.000 0.000 1
Ni6 Ni 0.500 0.500 0.500 1
```

---

- The highest formation energy belongs to which entry?
  La5Ni

---

- Look up the formation energy of the seventh one.
  0.713 eV per formula unit

---

- Which of these has the lowest formation energy?
  number 11